# 1
## Dy6TeC3Se2 (GGA-PBE)

Data for a relaxed Dy6TeC3Se2 crystal.

abc: 3.7935 8.0284 8.8863
angles: 107.36 102.32 90.00
Element x y z (fractional)
Dy1 0.3192 0.9420 0.6383
Dy2 0.6578 0.6090 0.3156
Dy3 0.6808 0.0580 0.3617
Dy4 0.9877 0.2854 0.9754
Dy5 0.0123 0.7146 0.0246
Dy6 0.3422 0.3910 0.6844
Te1 0.5000 0.0000 0.0000
C1 0.5000 0.5000 0.0000
C2 0.8319 0.1693 0.6639
C3 0.1681 0.8307 0.3361
Se1 0.8335 0.6671 0.6670
Se2 0.1665 0.3329 0.3330

Values from the calculation:
**Crystal system**: monoclinic
**Energy relative to the elements, uncorrected**: -1.0472 eV/atom
**Calculated density**: 8.6 g/cm3

# 2
## Dy8Te4CSe3 (GGA-PBE)

Data for a relaxed Dy8Te4CSe3 crystal.

abc: 8.2403 8.4543 8.2397
angles: 119.16 120.00 90.00
Element x y z (fractional)
Dy1 0.2157 0.7012 0.9855
Dy2 0.2157 0.7012 0.4314
Dy3 0.2603 0.2808 0.5205
Dy4 0.7698 0.7012 0.9855
Dy5 0.2302 0.2988 0.0145
Dy6 0.7397 0.7192 0.4795
Dy7 0.7843 0.2988 0.5686
Dy8 0.7843 0.2988 0.0145
Te1 0.5000 0.0000 0.0000
Te2 0.5000 0.0000 0.5000
Te3 0.0000 0.0000 0.0000
Te4 0.0000 0.0000 0.5000
C1 0.0000 0.5000 0.0000
Se1 0.5000 0.5000 0.0000
Se2 0.5000 0.5000 0.5000
Se3 0.0000 0.5000 0.5000

Values from the calculation:
**Crystal system**: trigonal
**Energy relative to the elements, uncorrected**: -1.4023 eV/atom
**Calculated density**: 8.3 g/cm3

# 3
## Dy4Te2CSe (GGA-PBE)

Data for a relaxed Dy4Te2CSe crystal.

abc: 3.9912 7.3441 7.0778
angles: 71.76 90.00 90.00
Element x y z (fractional)
Dy1 0.0000 0.7026 0.7281
Dy2 0.0000 0.2974 0.2719
Dy3 0.5000 0.6954 0.2953
Dy4 0.5000 0.3046 0.7047
Te1 0.0000 0.0000 0.0000
Te2 0.5000 0.0000 0.5000
C1 0.0000 0.5000 0.5000
Se1 0.5000 0.5000 0.0000

Values from the calculation:
**Crystal system**: monoclinic
**Energy relative to the elements, uncorrected**: -1.2364 eV/atom
**Calculated density**: 8.4 g/cm3

# 4
## Dy8Tl3CSe3 (GGA-PBE)

Data for a relaxed Dy8Tl3CSe3 crystal.

abc: 7.8835 7.8861 9.0025
angles: 116.01 90.00 120.01
Element x y z (fractional)
Dy1 0.2602 0.5206 0.2811
Dy2 0.7398 0.4794 0.7189
Dy3 0.7902 0.5806 0.3065
Dy4 0.2098 0.4194 0.6935
Dy5 0.7902 0.0155 0.3061
Dy6 0.2098 0.9845 0.6939
Dy7 0.2253 0.0154 0.3060
Dy8 0.7747 0.9846 0.6940
Tl1 0.0000 0.0000 0.0000
Tl2 0.0000 0.5000 0.0000
Tl3 0.5000 0.5000 0.0000
C1 0.0000 0.0000 0.5000
Se1 0.5000 0.0000 0.5000
Se2 0.5000 0.5000 0.5000
Se3 0.0000 0.5000 0.5000

Values from the calculation:
**Crystal system**: monoclinic
**Energy relative to the elements, uncorrected**: -0.8664 eV/atom
**Calculated density**: 8.6 g/cm3